Entry 1:
Compound: CdAs2Pt
Source: Alexandria via LeMat-Bulk
Functional: PBEsol
Structure: optimized geometry

Properties
ΔE_f: -101 meV per atom

a b c (Å): 2.854 5.342 5.564
angles (deg): 110.70 104.86 90.00
Atoms (fractional coordinates):
As 0.913 0.052 0.826
As 0.719 0.200 0.438
Pt 0.303 0.627 0.606
Cd 0.565 0.622 0.129

Entry 2:
Compound: CdAs2Pt
Source: Alexandria via LeMat-Bulk
Functional: PBEsol
Structure: optimized geometry

Properties
ΔE_f: 74 meV per atom

a b c (Å): 6.081 6.759 6.081
angles (deg): 63.27 90.00 116.73
Atoms (fractional coordinates):
As 0.664 0.750 0.375
As 0.086 0.750 0.875
As 0.875 0.250 0.664
As 0.375 0.250 0.086
Pt 0.750 0.500 0.750
Pt 0.000 0.000 0.000
Cd 0.250 0.500 0.250
Cd 0.500 0.000 0.500

Entry 3:
Compound: CdAs2Pt
Source: Alexandria via LeMat-Bulk
Functional: PBEsol
Structure: optimized geometry

Properties
ΔE_f: 53 meV per atom

a b c (Å): 3.599 3.599 5.640
angles (deg): 90.00 90.00 90.00
Atoms (fractional coordinates):
As 0.000 0.000 0.715
As 0.000 0.000 0.285
Pt 0.500 0.500 0.500
Cd 0.500 0.500 0.000

Entry 4:
Compound: CdAs2Pt
Source: Alexandria via LeMat-Bulk
Functional: PBEsol
Structure: optimized geometry

Properties
ΔE_f: -17 meV per atom

a b c (Å): 3.025 3.025 7.962
angles (deg): 90.00 90.00 90.00
Atoms (fractional coordinates):
As 0.000 0.000 0.955
As 0.500 0.500 0.255
Pt 0.500 0.500 0.770
Cd 0.000 0.000 0.520

Entry 5:
Compound: CdAsPt
Source: Alexandria via LeMat-Bulk
Functional: PBEsol
Structure: optimized geometry

Properties
ΔE to the lowest computed polymorph: 0.33 eV per formula unit
ΔE_f: -71 meV per atom

a b c (Å): 3.592 4.240 4.240
angles (deg): 120.00 90.00 90.00
Atoms (fractional coordinates):
As 0.500 0.000 0.000
Pt 0.500 0.667 0.333
Cd 0.000 0.333 0.667

Entry 6:
Compound: CdAsPt
Source: Alexandria via LeMat-Bulk
Functional: PBEsol
Structure: optimized geometry

Properties
ΔE to the lowest computed polymorph: 0.00 eV per formula unit
ΔE_f: -181 meV per atom

a b c (Å): 4.372 4.372 4.372
angles (deg): 60.00 60.00 60.00
Atoms (fractional coordinates):
As 0.000 0.000 0.000
Pt 0.750 0.750 0.750
Cd 0.500 0.500 0.500

Entry 7:
Compound: CdAsPt2
Source: Alexandria via LeMat-Bulk
Functional: PBEsol
Structure: optimized geometry

Properties
ΔE to the lowest computed polymorph: 0.41 eV per formula unit
ΔE_f: -63 meV per atom

a b c (Å): 2.969 4.675 5.120
angles (deg): 112.01 90.00 90.00
Atoms (fractional coordinates):
As 0.500 0.500 0.000
Pt 0.000 0.000 0.000
Pt 0.500 0.000 0.500
Cd 0.000 0.500 0.500

Entry 8:
Compound: CdAsPt2
Source: Alexandria via LeMat-Bulk
Functional: PBEsol
Structure: optimized geometry

Properties
ΔE to the lowest computed polymorph: 0.00 eV per formula unit
ΔE_f: -165 meV per atom

a b c (Å): 2.966 3.225 6.877
angles (deg): 90.00 90.00 90.00
Atoms (fractional coordinates):
As 0.500 0.500 0.000
Pt 0.000 0.000 0.773
Pt 0.000 0.000 0.227
Cd 0.500 0.500 0.500

Entry 9:
Compound: Cd2AsPtS
Source: Alexandria via LeMat-Bulk
Functional: PBEsol
Structure: optimized geometry

Properties
Raw formation energy: 0.72 eV/atom

a b c (Å): 4.747 4.775 4.775
angles (deg): 90.00 90.00 90.00
Atoms (fractional coordinates):
As 0.500 0.000 0.000
S 0.000 0.000 0.000
Pt 0.500 0.500 0.500
Cd 0.000 0.000 0.500
Cd 0.000 0.500 0.000

Entry 10:
Compound: CdAsPtSe2
Source: Alexandria via LeMat-Bulk
Functional: PBEsol
Structure: optimized geometry

Properties
Raw formation energy: 0.94 eV/atom

a b c (Å): 4.870 4.928 4.928
angles (deg): 90.00 90.00 90.00
Atoms (fractional coordinates):
As 0.000 0.000 0.000
Se 0.000 0.000 0.500
Se 0.000 0.500 0.000
Pt 0.500 0.500 0.500
Cd 0.500 0.000 0.000

Entry 11:
Compound: Rb2Cd2As
Source: Alexandria via LeMat-Bulk
Functional: PBEsol
Structure: optimized geometry

Properties
ΔE_f: 50 meV per atom

a b c (Å): 3.932 3.932 11.711
angles (deg): 99.66 99.66 90.00
Atoms (fractional coordinates):
As 0.000 0.000 0.000
Rb 0.408 0.408 0.815
Rb 0.592 0.592 0.185
Cd 0.250 0.750 0.500
Cd 0.750 0.250 0.500

Entry 12:
Compound: Rb2Cd5As4
Source: Alexandria via LeMat-Bulk
Functional: PBEsol
Structure: optimized geometry

Properties
ΔE_f: -275 meV per atom

a b c (Å): 7.432 7.432 12.748
angles (deg): 90.00 90.00 116.85
Atoms (fractional coordinates):
Rb 0.791 0.209 0.500
Rb 0.791 0.209 0.000
Rb 0.209 0.791 0.500
Rb 0.209 0.791 0.000
Cd 0.234 0.527 0.750
Cd 0.473 0.766 0.250
Cd 0.766 0.473 0.250
Cd 0.527 0.234 0.750
Cd 0.650 0.650 0.606
Cd 0.350 0.350 0.394
Cd 0.650 0.650 0.894
Cd 0.350 0.350 0.106
Cd 0.007 0.007 0.750
Cd 0.993 0.993 0.250
As 0.909 0.597 0.750
As 0.403 0.091 0.250
As 0.091 0.403 0.250
As 0.597 0.909 0.750
As 0.276 0.276 0.600
As 0.724 0.724 0.400
As 0.276 0.276 0.900
As 0.724 0.724 0.100

Entry 13:
Compound: RbCdSi2As
Source: Alexandria via LeMat-Bulk
Functional: PBEsol
Structure: optimized geometry

Properties
Raw formation energy: 0.77 eV/atom

a b c (Å): 5.108 5.108 5.354
angles (deg): 90.00 90.00 90.00
Atoms (fractional coordinates):
As 0.000 0.000 0.500
Si 0.000 0.500 0.000
Si 0.500 0.000 0.000
Rb 0.500 0.500 0.500
Cd 0.000 0.000 0.000

Entry 14:
Compound: Rb2Cd3SnAs4
Source: Alexandria via LeMat-Bulk
Functional: PBEsol
Structure: optimized geometry

Properties
ΔE_f: -287 meV per atom

a b c (Å): 4.426 7.662 9.507
angles (deg): 113.93 103.46 90.00
Atoms (fractional coordinates):
As 0.367 0.697 0.734
As 0.845 0.182 0.691
As 0.637 0.309 0.274
As 0.138 0.801 0.276
Sn 0.688 0.031 0.375
Rb 0.492 0.484 0.985
Rb 0.998 0.004 0.995
Cd 0.200 0.522 0.401
Cd 0.319 0.970 0.637
Cd 0.817 0.499 0.634

Entry 15:
Compound: CdReAs
Source: Alexandria via LeMat-Bulk
Functional: PBEsol
Structure: optimized geometry

Properties
ΔE to the lowest computed polymorph: 0.74 eV per formula unit
ΔE_f: 471 meV per atom

a b c (Å): 2.843 2.843 8.051
angles (deg): 95.78 95.78 115.47
Atoms (fractional coordinates):
Re 0.345 0.345 0.691
As 0.966 0.966 0.932
Cd 0.689 0.689 0.377

Entry 16:
Compound: CdReAs2
Source: Alexandria via LeMat-Bulk
Functional: PBEsol
Structure: optimized geometry

Properties
ΔE_f: 710 meV per atom

a b c (Å): 3.909 3.909 5.221
angles (deg): 111.99 111.99 90.00
Atoms (fractional coordinates):
Re 0.250 0.750 0.500
As 0.000 0.000 0.000
As 0.750 0.250 0.500
Cd 0.500 0.500 0.000

Entry 17:
Compound: CdReAs2
Source: Alexandria via LeMat-Bulk
Functional: PBEsol
Structure: optimized geometry

Properties
ΔE_f: 626 meV per atom

a b c (Å): 3.244 4.541 4.541
angles (deg): 90.00 90.00 90.00
Atoms (fractional coordinates):
Re 0.500 0.000 0.000
As 0.000 0.000 0.500
As 0.000 0.500 0.000
Cd 0.500 0.500 0.500

Entry 18:
Compound: CdReAs
Source: Alexandria via LeMat-Bulk
Functional: PBEsol
Structure: optimized geometry

Properties
ΔE to the lowest computed polymorph: 0.13 eV per formula unit
ΔE_f: 267 meV per atom

a b c (Å): 3.195 3.195 5.436
angles (deg): 107.09 107.09 90.00
Atoms (fractional coordinates):
Re 0.360 0.360 0.720
As 0.972 0.972 0.943
Cd 0.668 0.668 0.337

Entry 19:
Compound: CdReAs2
Source: Alexandria via LeMat-Bulk
Functional: PBEsol
Structure: optimized geometry

Properties
ΔE_f: 876 meV per atom

a b c (Å): 4.589 4.589 4.589
angles (deg): 60.00 60.00 60.00
Atoms (fractional coordinates):
Re 0.250 0.250 0.250
As 0.000 0.000 0.000
As 0.750 0.750 0.750
Cd 0.500 0.500 0.500

Entry 20:
Compound: CdReAs2
Source: Alexandria via LeMat-Bulk
Functional: PBEsol
Structure: optimized geometry

Properties
ΔE_f: 467 meV per atom

a b c (Å): 5.917 5.917 6.957
angles (deg): 115.17 115.17 90.00
Atoms (fractional coordinates):
Re 0.250 0.750 0.500
Re 0.000 0.000 0.000
As 0.329 0.875 0.250
As 0.921 0.375 0.250
As 0.125 0.079 0.750
As 0.625 0.671 0.750
Cd 0.750 0.250 0.500
Cd 0.500 0.500 0.000